Crystalline In4IrBr at its relaxed geometry, computed with GGA-PBEsol.

abc: 8.2039 8.2039 8.2039
angles: 90.00 90.00 90.00
With the nearest neighbours (Å) after each atom.
Space group F-43m (No. 216)
Symmetry-distinct sites (fractional):
In 0.1245 0.1245 0.3755 [16 per cell]  6 In 2.89-2.91
Ir 0.2500 0.2500 0.7500 [4 per cell]  12 In 3.40, 4 Br 3.55
Br 0.0000 0.0000 0.0000 [4 per cell]  12 In 3.40, 4 Ir 3.55

Results
density of states at the Fermi level: 0.48 states/eV/atom
energy relative to the elements, uncorrected: 0.5922 eV/atom

***

Crystalline InIrBr at its relaxed geometry, computed with GGA-PBEsol.

abc: 3.2259 3.2259 11.4297
angles: 90.00 90.00 90.00
With the nearest neighbours (Å) after each atom.
Space group I4mm (No. 107)
Symmetry-distinct sites (fractional):
In 0.0000 0.0000 0.0000 [2 per cell]  4 Ir 2.69
Ir 0.0000 0.0000 0.3753 [2 per cell]  4 In 2.69
Br 0.0000 0.0000 0.7030 [2 per cell]  4 Ir 3.01, 4 Br 3.23, 4 In 3.25

Results
density of states at the Fermi level: 0.51 states/eV/atom
energy relative to the elements, uncorrected: 0.4210 eV/atom

***

Question: Which formula does entry 1 have?
Answer: In4IrBr

***

Question: What is the formula in the second record?
Answer: InIrBr

***

Question: Among the records above, which one has the lowest energy relative to the elements, uncorrected?
Answer: InIrBr

***

Question: Which of these has the highest energy relative to the elements, uncorrected?
Answer: In4IrBr